TbYNi4 | PBE | optimized geometry

Lattice parameters (Å, degrees): 5.081 5.081 5.081 60.00 60.00 60.00
Sites, in units of the cell vectors:
Y 0.000 0.000 0.000
Ni 0.625 0.625 0.125
Ni 0.625 0.125 0.625
Ni 0.625 0.625 0.625
Ni 0.125 0.625 0.625
Tb 0.250 0.250 0.250

Results
* spin magnetization: 0.0 μB/f.u.
* energy of formation from the pure elements: -0.43 eV per atom
* density of states at the Fermi level: 3.7 states/eV/cell

---

Tb2YNi6 | PBE | optimized geometry

Lattice parameters (Å, degrees): 3.730 6.952 6.952 120.00 90.00 90.00
Site moments in Bohr magnetons follow the coordinates.
Sites, in units of the cell vectors:
Tb 0.000 0.333 0.667  -0.01
Tb 0.000 0.667 0.333  -0.01
Y 0.000 0.000 0.000  -0.01
Ni 0.500 0.333 0.333  0.16
Ni 0.500 0.667 0.667  0.16
Ni 0.500 0.000 0.667  0.16
Ni 0.500 0.667 0.000  0.16
Ni 0.500 0.333 0.000  0.16
Ni 0.500 0.000 0.333  0.16

Results
* spin magnetization: 0.9 μB/f.u.
* energy of formation from the pure elements: -0.39 eV per atom
* density of states at the Fermi level: 9.1 states/eV/cell

---

TbYNi | PBE | optimized geometry

Lattice parameters (Å, degrees): 3.944 3.944 6.142 90.00 90.00 120.00
Sites, in units of the cell vectors:
Y 0.333 0.667 0.574
Ni 0.667 0.333 0.332
Tb 0.000 0.000 0.094

Results
* spin magnetization: 0.0 μB/f.u.
* energy of formation from the pure elements: -0.15 eV per atom
* polymorph energy (0 for the lowest one): 42 kJ/mol of formula units
* density of states at the Fermi level: 2.1 states/eV/cell

---

Tb3YNi2 | PBE | optimized geometry

Lattice parameters (Å, degrees): 3.895 8.298 9.896 77.25 78.65 76.43
Sites, in units of the cell vectors:
Tb 0.155 0.938 0.753
Tb 0.845 0.062 0.247
Tb 0.417 0.225 0.941
Tb 0.583 0.775 0.059
Tb 0.582 0.277 0.559
Tb 0.418 0.723 0.441
Y 0.846 0.562 0.745
Y 0.154 0.438 0.255
Ni 0.231 0.586 0.951
Ni 0.769 0.414 0.049
Ni 0.768 0.914 0.550
Ni 0.232 0.086 0.450

Results
* spin magnetization: 0.0 μB/f.u.
* energy of formation from the pure elements: -0.28 eV per atom
* density of states at the Fermi level: 13.8 states/eV/cell

---

TbY3Ni2 | PBE | optimized geometry

Lattice parameters (Å, degrees): 3.885 8.328 9.916 77.02 78.70 76.51
Sites, in units of the cell vectors:
Tb 0.845 0.563 0.748
Tb 0.155 0.437 0.252
Y 0.154 0.937 0.754
Y 0.846 0.063 0.246
Y 0.419 0.222 0.940
Y 0.581 0.778 0.060
Y 0.582 0.277 0.560
Y 0.418 0.723 0.440
Ni 0.232 0.585 0.951
Ni 0.768 0.415 0.049
Ni 0.768 0.915 0.548
Ni 0.232 0.085 0.452

Results
* spin magnetization: 0.0 μB/f.u.
* energy of formation from the pure elements: -0.28 eV per atom
* density of states at the Fermi level: 13.9 states/eV/cell

---

TbY3Ni | PBE | optimized geometry

Lattice parameters (Å, degrees): 3.675 6.463 12.479 78.93 81.53 73.48
Sites, in units of the cell vectors:
Tb 0.099 0.498 0.304
Tb 0.228 0.520 0.024
Y 0.460 0.945 0.134
Y 0.752 0.720 0.775
Y 0.114 0.168 0.604
Y 0.984 0.147 0.885
Y 0.803 0.026 0.368
Y 0.410 0.640 0.539
Ni 0.765 0.305 0.165
Ni 0.445 0.368 0.742

Results
* spin magnetization: 0.0 μB/f.u.
* energy of formation from the pure elements: -0.16 eV per atom
* polymorph energy (0 for the lowest one): 0 kJ/mol of formula units
* density of states at the Fermi level: 13.7 states/eV/cell

---

TbYNi2 | PBE | optimized geometry

Lattice parameters (Å, degrees): 3.775 4.195 5.456 90.00 110.25 90.00
Sites, in units of the cell vectors:
Tb 0.444 0.500 0.427
Y 0.722 0.000 0.984
Ni 0.153 0.500 0.846
Ni 0.011 0.000 0.561

Results
* spin magnetization: 0.0 μB/f.u.
* energy of formation from the pure elements: -0.44 eV per atom
* density of states at the Fermi level: 2.5 states/eV/cell

---

TbYNi | PBE | optimized geometry

Lattice parameters (Å, degrees): 3.636 6.935 6.482 106.46 106.30 74.76
Sites, in units of the cell vectors:
Tb 0.496 0.216 0.602
Tb 0.320 0.998 0.035
Y 0.074 0.534 0.077
Y 0.742 0.681 0.560
Ni 0.785 0.292 0.258
Ni 0.031 0.923 0.379

Results
* spin magnetization: 0.0 μB/f.u.
* energy of formation from the pure elements: -0.29 eV per atom
* polymorph energy (0 for the lowest one): 0 kJ/mol of formula units
* density of states at the Fermi level: 6.5 states/eV/cell

---

Tb3YNi8 | PBE | optimized geometry

Lattice parameters (Å, degrees): 5.075 5.075 8.812 73.27 73.27 60.00
Sites, in units of the cell vectors:
Tb 0.375 0.375 0.875
Tb 0.000 0.000 0.000
Tb 0.500 0.500 0.501
Y 0.875 0.875 0.375
Ni 0.937 0.438 0.187
Ni 0.437 0.938 0.687
Ni 0.438 0.438 0.187
Ni 0.938 0.938 0.687
Ni 0.188 0.188 0.437
Ni 0.687 0.687 0.938
Ni 0.438 0.937 0.187
Ni 0.938 0.437 0.687

Results
* spin magnetization: 0.0 μB/f.u.
* energy of formation from the pure elements: -0.43 eV per atom
* density of states at the Fermi level: 6.6 states/eV/cell

---

Tb3Y3Ni4 | PBE | optimized geometry

Lattice parameters (Å, degrees): 3.920 7.523 7.523 90.09 90.00 90.00
Sites, in units of the cell vectors:
Tb 0.000 0.500 0.999
Tb 0.000 0.001 0.500
Tb 0.500 0.164 0.836
Y 0.500 0.834 0.166
Y 0.500 0.335 0.334
Y 0.500 0.666 0.665
Ni 0.000 0.623 0.377
Ni 0.000 0.377 0.623
Ni 0.000 0.878 0.877
Ni 0.000 0.123 0.122

Results
* spin magnetization: 0.0 μB/f.u.
* energy of formation from the pure elements: -0.31 eV per atom
* density of states at the Fermi level: 9.4 states/eV/cell

---

Tb6YNi3 | PBE | optimized geometry

Lattice parameters (Å, degrees): 7.057 8.542 8.542 99.39 90.00 90.00
Sites, in units of the cell vectors:
Tb 0.171 0.704 0.630
Tb 0.671 0.630 0.704
Tb 0.319 0.581 0.966
Tb 0.819 0.966 0.581
Tb 0.163 0.033 0.967
Tb 0.510 0.227 0.773
Tb 0.010 0.773 0.227
Tb 0.663 0.967 0.033
Tb 0.319 0.034 0.419
Tb 0.819 0.419 0.034
Tb 0.171 0.370 0.296
Tb 0.671 0.296 0.370
Y 0.045 0.321 0.679
Y 0.545 0.679 0.321
Ni 0.454 0.912 0.701
Ni 0.954 0.701 0.912
Ni 0.380 0.419 0.581
Ni 0.880 0.581 0.419
Ni 0.954 0.088 0.299
Ni 0.454 0.299 0.088

Results
* spin magnetization: 0.0 μB/f.u.
* energy of formation from the pure elements: -0.22 eV per atom
* density of states at the Fermi level: 20.6 states/eV/cell

---

TbYNi | PBE | optimized geometry

Lattice parameters (Å, degrees): 3.419 3.419 6.701 104.78 104.78 90.00
Sites, in units of the cell vectors:
Y 0.035 0.035 0.071
Ni 0.667 0.667 0.335
Tb 0.297 0.297 0.594

Results
* spin magnetization: 0.0 μB/f.u.
* energy of formation from the pure elements: -0.23 eV per atom
* polymorph energy (0 for the lowest one): 19 kJ/mol of formula units
* density of states at the Fermi level: 2.7 states/eV/cell